8
Lattice="4.947 0.000 0.000 0.000 4.947 0.000 2.474 2.474 14.756" Properties=species:S:1:pos:R:3 comment="K2LaY | Alexandria via LeMat-Bulk | PBE | relaxed" ef_ev_per_atom=0.59 density_g_cm3=2.8 e_above_lowest_polymorph_mev_per_atom=352 e_tot_ev_per_atom=-2.81 pbc="T T T"
Y 2.474 2.474 0.000
Y 2.474 4.947 7.378
K 3.690 1.237 3.689
K 1.258 3.711 3.689
K 3.711 3.732 11.067
K 6.184 6.163 11.067
La 0.000 0.000 0.000
La 4.947 2.474 7.378


4
Lattice="7.980 -0.005 0.000 -4.756 6.409 0.000 0.000 0.000 3.528" Properties=species:S:1:pos:R:3 comment="K2LaY | Alexandria via LeMat-Bulk | PBE | relaxed" ef_ev_per_atom=0.53 density_g_cm3=2.8 e_above_lowest_polymorph_mev_per_atom=298 e_tot_ev_per_atom=-2.86 pbc="T T T"
K 0.000 0.000 0.000
K 1.612 3.202 0.000
La 3.990 -0.003 1.764
Y -2.378 3.204 1.764


4
Lattice="3.647 -0.035 0.000 -1.408 3.364 0.000 0.000 0.000 13.281" Properties=species:S:1:pos:R:3 comment="KLa2Y | Alexandria via LeMat-Bulk | PBE | relaxed" ef_ev_per_atom=0.20 density_g_cm3=4.2 e_above_lowest_polymorph_mev_per_atom=55 e_tot_ev_per_atom=-4.15 pbc="T T T"
K 1.119 1.664 9.961
La 0.000 0.000 0.480
La 0.000 0.000 6.161
Y 1.119 1.664 3.320


Calculated volume across the listed records, respectively: 361, 180, 162 Å³/cell.